Entry 1:
DFT (PBE) results for a relaxed MnZnAg2 crystal.

The value obtained for the formation energy is 0.373 eV per atom.

The space group is I-42d (No. 122) and the conventional cell measures 3.863, 3.863 and 19.203 Å, with angles of 90.00, 90.00 and 90.00 degrees. Symmetry generates all atoms from Mn at (0.000, 0.000, 0.000), Zn at (0.000, 0.000, 0.500) and Ag at (0.247, 0.250, 0.625).

Entry 2:
DFT (PBE) results for a relaxed Tl5ZnBr8 crystal.

As for the formation energy from raw total energies: -0.773 eV per atom.

The space group is I-4 (No. 82) and the conventional cell measures 9.195, 9.195 and 12.971 Å, with angles of 90.00, 90.00 and 90.00 degrees. Symmetry generates all atoms from Tl at (0.000, 0.000, 0.000), Tl at (0.001, 0.239, 0.619), Zn at (0.000, 0.500, 0.250), Br at (0.001, 0.258, 0.872) and Br at (0.001, 0.281, 0.359).

Entry 3:
DFT (PBE) results for a relaxed LuAg6 crystal.

The value obtained for the formation energy is 0.698 eV per atom.

The space group is Im-3m (No. 229) and the conventional cell measures 7.352, 7.352 and 7.352 Å, with angles of 90.00, 90.00 and 90.00 degrees. Symmetry generates all atoms from Lu at (0.000, 0.000, 0.000) and Ag at (0.000, 0.250, 0.500).

Please write out number 3 again, unchanged.
DFT (PBE) results for a relaxed LuAg6 crystal.

The value obtained for the formation energy is 0.698 eV per atom.

The space group is Im-3m (No. 229) and the conventional cell measures 7.352, 7.352 and 7.352 Å, with angles of 90.00, 90.00 and 90.00 degrees. Symmetry generates all atoms from Lu at (0.000, 0.000, 0.000) and Ag at (0.000, 0.250, 0.500).